# MnReC

A geometry-optimized MnReC structure (PBE, the Alexandria database).

CIF file:
```
data_MnReC
_cell_length_a 5.342
_cell_length_b 5.342
_cell_length_c 5.168
_cell_angle_alpha 118.44
_cell_angle_beta 118.44
_cell_angle_gamma 32.28
_space_group_name_H-M_alt 'P 1'
_space_group_IT_number 1
_space_group_name_Hall 'P 1'
loop_
_atom_site_label
_atom_site_fract_x
_atom_site_fract_y
_atom_site_fract_z
Mn1 0.121 0.121 0.448
Mn2 0.879 0.879 0.552
Re1 0.370 0.370 0.025
Re2 0.630 0.630 0.975
C1 0.258 0.258 0.272
C2 0.742 0.742 0.728
```

Values from the calculation:
* DOS at the Fermi energy: 2.0 states/eV/f.u.
* formation energy from the elements: 0.20 eV per atom